[1]
Entry from the Alexandria database: an optimized crystal structure of ScSb3S (PBE).

Properties
formation energy without anion corrections	1.08	eV/f.u.
ΔE to the lowest computed polymorph	0	meV per atom
total energy	-21.750	eV per cell
DOS at the Fermi energy	0.532	states/eV per atom

a b c (Å): 5.1621 5.1621 5.1621
angles (deg): 90.00 90.00 90.00
With the nearest neighbours (Å) after each atom.
Space group Pm-3m (No. 221)
Inequivalent atoms, fractional coordinates:
Sc  0.0000  0.0000  0.0000 x1  12 Sb 3.65
Sb  0.0000  0.5000  0.5000 x3  2 S 2.58
S  0.5000  0.5000  0.5000 x1  6 Sb 2.58

[2]
Entry from the Alexandria database: an optimized crystal structure of ScSb3S6 (PBE).

Properties
formation energy without anion corrections	-4.09	eV/f.u.
ΔE to the lowest computed polymorph	211	meV per atom
total energy	-95.110	eV per cell
DOS at the Fermi energy	0.265	states/eV per atom

a b c (Å): 9.6650 13.4060 3.8579
angles (deg): 90.00 90.00 90.00
With the nearest neighbours (Å) after each atom.
Space group Cmmm (No. 65)
Inequivalent atoms, fractional coordinates:
Sc  0.0000  0.0000  0.0000 x2  4 S 2.68
Sb  0.0000  0.5000  0.0000 x2  4 S 2.63
Sb  0.2500  0.2500  0.5000 x4  6 S 2.67-2.84
S  0.0000  0.1390  0.5000 x4  2 Sc 2.68, 2 Sb 2.84
S  0.2204  0.3855  0.0000 x8  3 Sb 2.63-2.67

[3]
Entry from the Alexandria database: an optimized crystal structure of Sc3SbS6 (PBE).

Properties
formation energy without anion corrections	-13.98	eV/f.u.
total energy	-371.170	eV per cell

a b c (Å): 10.9476 10.9476 13.2296
angles (deg): 90.00 90.00 120.00
With the nearest neighbours (Å) after each atom.
Space group R-3 (No. 148, hexagonal axes)
Inequivalent atoms, fractional coordinates:
Sc  0.0498  0.2697  0.2058 x18  6 S 2.56-2.70
Sb  0.0000  0.0000  0.0000 x3  6 S 2.65
Sb  0.0000  0.0000  0.5000 x3  6 S 2.70
S  0.0171  0.2210  0.3976 x18  3 Sc 2.58-2.70, 1 Sb 2.70
S  0.0303  0.1937  0.8660 x18  3 Sc 2.56-2.66, 1 Sb 2.65

[4]
Entry from the Alexandria database: an optimized crystal structure of Sc3SbS3 (PBE).

Properties
formation energy without anion corrections	-10.33	eV/f.u.
total energy	-274.983	eV per cell

a b c (Å): 7.4558 7.4558 20.6589
angles (deg): 90.00 90.00 120.00
With the nearest neighbours (Å) after each atom.
Space group R-3 (No. 148, hexagonal axes)
Inequivalent atoms, fractional coordinates:
Sc  0.0140  0.3887  0.4052 x18  4 S 2.52-2.63
Sb  0.0000  0.0000  0.1673 x6  6 Sc 2.97-3.11
S  0.0186  0.2840  0.6139 x18  4 Sc 2.52-2.63

[5]
Entry from the Alexandria database: an optimized crystal structure of Sc7SbS5 (PBE).

Properties
formation energy without anion corrections	-21.10	eV/f.u.
total energy	-360.730	eV per cell
DOS at the Fermi energy	0.633	states/eV per atom

a b c (Å): 3.7500 12.1291 21.9214
angles (deg): 90.00 90.00 90.00
With the nearest neighbours (Å) after each atom.
Space group Cmcm (No. 63)
Inequivalent atoms, fractional coordinates:
Sc  0.0000  0.0151  0.2500 x4  2 S 2.51
Sc  0.0000  0.1382  0.5365 x8  6 S 2.54-2.64
Sc  0.0000  0.3236  0.1731 x8  3 S 2.54-2.56
Sc  0.0000  0.4062  0.6139 x8  5 S 2.59-2.74
Sb  0.0000  0.3037  0.7500 x4  8 Sc 2.89-3.23
S  0.0000  0.0454  0.6405 x8  6 Sc 2.51-2.59
S  0.0000  0.2246  0.0713 x8  6 Sc 2.54-2.63
S  0.0000  0.5000  0.0000 x4  6 Sc 2.64-2.74

[6]
Entry from the Alexandria database: an optimized crystal structure of Sc4Sb3S (PBE).

Properties
formation energy without anion corrections	-9.01	eV/f.u.
total energy	-101.662	eV per cell
DOS at the Fermi energy	0.226	states/eV per atom

a b c (Å): 8.1348 11.4556 4.0452
angles (deg): 90.00 90.00 90.00
With the nearest neighbours (Å) after each atom.
Space group Cmmm (No. 65)
Inequivalent atoms, fractional coordinates:
Sc  0.0000  0.2401  0.0000 x4  1 S 2.75, 5 Sb 2.87-2.98
Sc  0.2340  0.0000  0.5000 x4  2 S 2.78, 4 Sb 2.87-2.96
Sb  0.0000  0.5000  0.0000 x2  6 Sc 2.96-2.98
Sb  0.2500  0.2500  0.5000 x4  6 Sc 2.87
S  0.0000  0.0000  0.0000 x2  6 Sc 2.75-2.78